Entry from the Alexandria database: Ce2NdDy after structural relaxation (PBE-GGA).

Output
For the total energy, the calculation gives -5.191 eV per atom. The formation energy is 118 meV per atom. For the energy above the most stable polymorph in this dataset, the calculation gives 0.014 eV/atom. The calculation puts the total magnetic moment at 1.56 μB/f.u.

CIF file:
```
data_Ce2NdDy
_space_group_name_H-M_alt 'P 1'
_space_group_IT_number 1
_space_group_name_Hall 'P 1'
_cell_length_a 3.4900
_cell_length_b 3.4900
_cell_length_c 10.2478
_cell_angle_alpha 90.00
_cell_angle_beta 90.00
_cell_angle_gamma 90.00
loop_
_atom_site_label
_atom_site_type_symbol
_atom_site_fract_x
_atom_site_fract_y
_atom_site_fract_z
Nd1 Nd 0.5000 0.5000 0.5000
Ce1 Ce 0.0000 0.0000 0.2465
Ce2 Ce 0.0000 0.0000 0.7535
Dy1 Dy 0.5000 0.5000 0.0000
```